Here is an optimized crystal structure of CuW5 from the Alexandria database. Energies are from PBE.

Structure (CIF):
```
data_CuW5
_symmetry_space_group_name_H-M 'C 1 m 1'
_symmetry_Int_Tables_number 8
_symmetry_space_group_name_Hall 'C -2y'
_cell_length_a 10.663
_cell_length_b 2.641
_cell_length_c 6.981
_cell_angle_alpha 90.00
_cell_angle_beta 104.83
_cell_angle_gamma 90.00
loop_
_atom_site_label
_atom_site_type_symbol
_atom_site_fract_x
_atom_site_fract_y
_atom_site_fract_z
Cu1 Cu 0.000 0.000 0.000
W1 W 0.056 0.000 0.634
W2 W 0.165 0.500 0.325
W3 W 0.227 0.500 0.962
W4 W 0.329 0.000 0.668
W5 W 0.404 0.000 0.285
```

Output
DOS at the Fermi energy = 0.622 states/eV/atom
Formation energy from the elements = 0.394 eV/atom
Energy above the lowest structure with this stoichiometry = 24.7 meV per atom
Magnetization = 0.0 Bohr magnetons per cell
Total DFT energy (no corrections) = -11.083 eV/atom

---

Here is an optimized crystal structure of Mg3In2Pd3 from the Alexandria database. Energies are from PBE.

Structure (CIF):
```
data_Mg3In2Pd3
_symmetry_space_group_name_H-M 'I m m m'
_symmetry_Int_Tables_number 71
_symmetry_space_group_name_Hall '-I 2 2'
_cell_length_a 3.121
_cell_length_b 4.539
_cell_length_c 21.549
_cell_angle_alpha 90.00
_cell_angle_beta 90.00
_cell_angle_gamma 90.00
loop_
_atom_site_label
_atom_site_type_symbol
_atom_site_fract_x
_atom_site_fract_y
_atom_site_fract_z
Mg1 Mg 0.000 0.000 0.000
Mg2 Mg 0.000 0.500 0.106
In1 In 0.000 0.000 0.213
Pd1 Pd 0.000 0.000 0.500
Pd2 Pd 0.000 0.500 0.396
```

Output
DOS at the Fermi energy = 0.373 states/eV/atom
Formation energy from the elements = -0.532 eV/atom
Magnetization = 0.0 Bohr magnetons per cell
Total DFT energy (no corrections) = -3.762 eV/atom

---

Here is an optimized crystal structure of GePSCl2 from the Alexandria database. Energies are from PBE.

Structure (CIF):
```
data_GePSCl2
_symmetry_space_group_name_H-M 'P 4/m m m'
_symmetry_Int_Tables_number 123
_symmetry_space_group_name_Hall '-P 4 2'
_cell_length_a 4.694
_cell_length_b 4.694
_cell_length_c 4.915
_cell_angle_alpha 90.00
_cell_angle_beta 90.00
_cell_angle_gamma 90.00
loop_
_atom_site_label
_atom_site_type_symbol
_atom_site_fract_x
_atom_site_fract_y
_atom_site_fract_z
Ge1 Ge 0.000 0.000 0.000
P1 P 0.500 0.500 0.000
S1 S 0.500 0.500 0.500
Cl1 Cl 0.000 0.500 0.500
```

Output
DOS at the Fermi energy = 0.309 states/eV/atom
Energy above the lowest structure with this stoichiometry = 359.7 meV per atom
Magnetization = 0.0 Bohr magnetons per cell
Total DFT energy (no corrections) = -2.996 eV/atom
Formation energy without anion corrections = 573.2 meV per atom

---

Here is an optimized crystal structure of PaGaIO6 from the Alexandria database. Energies are from PBE.

Structure (CIF):
```
data_PaGaIO6
_symmetry_space_group_name_H-M 'P -3 1 c'
_symmetry_Int_Tables_number 163
_symmetry_space_group_name_Hall '-P 3 2c'
_cell_length_a 5.4910
_cell_length_b 5.4910
_cell_length_c 9.3285
_cell_angle_alpha 90.00
_cell_angle_beta 90.00
_cell_angle_gamma 120.00
loop_
_atom_site_label
_atom_site_type_symbol
_atom_site_fract_x
_atom_site_fract_y
_atom_site_fract_z
Pa1 Pa 0.0000 0.0000 0.0000
Ga1 Ga 0.3333 0.6667 0.2500
I1 I 0.3333 0.6667 0.7500
O1 O 0.0310 0.3476 0.1348
```

Output
DOS at the Fermi energy = 0.143 states/eV/atom
Magnetization = 2.1 Bohr magnetons per cell
Total DFT energy (no corrections) = -6.573 eV/atom
Formation energy without anion corrections = -1703.7 meV per atom

---

Here is an optimized crystal structure of NdMgPtPb from the Alexandria database. Energies are from PBE.

Structure (CIF):
```
data_NdMgPtPb
_symmetry_space_group_name_H-M 'F -4 3 m'
_symmetry_Int_Tables_number 216
_symmetry_space_group_name_Hall 'F -4 2 3'
_cell_length_a 7.219
_cell_length_b 7.219
_cell_length_c 7.219
_cell_angle_alpha 90.00
_cell_angle_beta 90.00
_cell_angle_gamma 90.00
loop_
_atom_site_label
_atom_site_type_symbol
_atom_site_fract_x
_atom_site_fract_y
_atom_site_fract_z
Nd1 Nd 0.000 0.000 0.000
Mg1 Mg 0.000 0.000 0.500
Pt1 Pt 0.250 0.250 0.250
Pb1 Pb 0.250 0.250 0.750
```

Output
DOS at the Fermi energy = 0.848 states/eV/atom
Formation energy from the elements = -0.549 eV/atom
Magnetization = 0.0 Bohr magnetons per cell
Total DFT energy (no corrections) = -4.577 eV/atom

---

Here is an optimized crystal structure of LiLaSBr from the Alexandria database. Energies are from PBE.

Structure (CIF):
```
data_LiLaSBr
_symmetry_space_group_name_H-M 'R -3 m'
_symmetry_Int_Tables_number 166
_symmetry_space_group_name_Hall '-R 3 2"'
_cell_length_a 4.0731
_cell_length_b 4.0731
_cell_length_c 43.5795
_cell_angle_alpha 90.00
_cell_angle_beta 90.00
_cell_angle_gamma 120.00
loop_
_atom_site_label
_atom_site_type_symbol
_atom_site_fract_x
_atom_site_fract_y
_atom_site_fract_z
Li1 Li 0.0000 0.0000 0.1866
La1 La 0.0000 0.0000 0.4211
S1 S 0.0000 0.0000 0.1292
Br1 Br 0.0000 0.0000 0.2901
```

Output
DOS at the Fermi energy = 0.560 states/eV/atom
Magnetization = 0.0 Bohr magnetons per cell
Total DFT energy (no corrections) = -4.811 eV/atom
Formation energy without anion corrections = -1650.5 meV per atom

---

Here is an optimized crystal structure of Zr4Tl2Hg from the Alexandria database. Energies are from PBE.

Structure (CIF):
```
data_Zr4Tl2Hg
_symmetry_space_group_name_H-M 'P 1 21/c 1'
_symmetry_Int_Tables_number 14
_symmetry_space_group_name_Hall '-P 2ybc'
_cell_length_a 5.157
_cell_length_b 9.425
_cell_length_c 7.058
_cell_angle_alpha 90.00
_cell_angle_beta 102.26
_cell_angle_gamma 90.00
loop_
_atom_site_label
_atom_site_type_symbol
_atom_site_fract_x
_atom_site_fract_y
_atom_site_fract_z
Zr1 Zr 0.002 0.199 0.001
Zr2 Zr 0.498 0.749 0.248
Tl1 Tl 0.183 0.501 0.868
Hg1 Hg 0.500 0.000 0.000
```

Output
DOS at the Fermi energy = 0.889 states/eV/atom
Formation energy from the elements = 0.096 eV/atom
Energy above the lowest structure with this stoichiometry = 90.0 meV per atom
Magnetization = 0.0 Bohr magnetons per cell
Total DFT energy (no corrections) = -5.508 eV/atom

---

Here is an optimized crystal structure of CeDy2Ga6 from the Alexandria database. Energies are from PBE.

Structure (CIF):
```
data_CeDy2Ga6
_symmetry_space_group_name_H-M 'I m m m'
_symmetry_Int_Tables_number 71
_symmetry_space_group_name_Hall '-I 2 2'
_cell_length_a 4.338
_cell_length_b 7.150
_cell_length_c 13.151
_cell_angle_alpha 90.00
_cell_angle_beta 90.00
_cell_angle_gamma 90.00
loop_
_atom_site_label
_atom_site_type_symbol
_atom_site_fract_x
_atom_site_fract_y
_atom_site_fract_z
Ce1 Ce 0.000 0.000 0.000
Dy1 Dy 0.000 0.500 0.126
Ga1 Ga 0.000 0.183 0.500
Ga2 Ga 0.000 0.305 0.315
```

Output
DOS at the Fermi energy = 1.095 states/eV/atom
Formation energy from the elements = -0.450 eV/atom
Energy above the lowest structure with this stoichiometry = 169.9 meV per atom
Magnetization = 2.5 Bohr magnetons per cell
Total DFT energy (no corrections) = -4.150 eV/atom

---

Here is an optimized crystal structure of Zr2CrHg from the Alexandria database. Energies are from PBE.

Structure (CIF):
```
data_Zr2CrHg
_symmetry_space_group_name_H-M 'P 4 m m'
_symmetry_Int_Tables_number 99
_symmetry_space_group_name_Hall 'P 4 -2'
_cell_length_a 3.269
_cell_length_b 3.269
_cell_length_c 7.626
_cell_angle_alpha 90.00
_cell_angle_beta 90.00
_cell_angle_gamma 90.00
loop_
_atom_site_label
_atom_site_type_symbol
_atom_site_fract_x
_atom_site_fract_y
_atom_site_fract_z
Zr1 Zr 0.000 0.000 0.000
Zr2 Zr 0.500 0.500 0.282
Cr1 Cr 0.000 0.000 0.502
Hg1 Hg 0.500 0.500 0.726
```

Output
DOS at the Fermi energy = 0.873 states/eV/atom
Formation energy from the elements = 0.122 eV/atom
Energy above the lowest structure with this stoichiometry = 136.2 meV per atom
Magnetization = 3.2 Bohr magnetons per cell
Total DFT energy (no corrections) = -6.633 eV/atom

---

Here is an optimized crystal structure of BeSiNi2Au from the Alexandria database. Energies are from PBE.

Structure (CIF):
```
data_BeSiNi2Au
_symmetry_space_group_name_H-M 'P 4/m m m'
_symmetry_Int_Tables_number 123
_symmetry_space_group_name_Hall '-P 4 2'
_cell_length_a 4.218
_cell_length_b 4.218
_cell_length_c 4.106
_cell_angle_alpha 90.00
_cell_angle_beta 90.00
_cell_angle_gamma 90.00
loop_
_atom_site_label
_atom_site_type_symbol
_atom_site_fract_x
_atom_site_fract_y
_atom_site_fract_z
Be1 Be 0.000 0.000 0.000
Si1 Si 0.000 0.000 0.500
Ni1 Ni 0.000 0.500 0.500
Au1 Au 0.500 0.500 0.000
```

Output
DOS at the Fermi energy = 0.685 states/eV/atom
Magnetization = 0.0 Bohr magnetons per cell
Total DFT energy (no corrections) = -4.383 eV/atom
Formation energy without anion corrections = 414.6 meV per atom

---

Here is an optimized crystal structure of Ac5OsPt from the Alexandria database. Energies are from PBE.

Structure (CIF):
```
data_Ac5OsPt
_symmetry_space_group_name_H-M 'C 1 2/c 1'
_symmetry_Int_Tables_number 15
_symmetry_space_group_name_Hall '-C 2yc'
_cell_length_a 11.071
_cell_length_b 9.432
_cell_length_c 11.446
_cell_angle_alpha 90.00
_cell_angle_beta 111.80
_cell_angle_gamma 90.00
loop_
_atom_site_label
_atom_site_type_symbol
_atom_site_fract_x
_atom_site_fract_y
_atom_site_fract_z
Ac1 Ac 0.000 0.250 0.250
Ac2 Ac 0.096 0.168 0.641
Ac3 Ac 0.186 0.456 0.014
Os1 Os 0.250 0.250 0.500
Pt1 Pt 0.000 0.424 0.750
```

Output
DOS at the Fermi energy = 0.927 states/eV/atom
Formation energy from the elements = -0.247 eV/atom
Magnetization = 0.0 Bohr magnetons per cell
Total DFT energy (no corrections) = -5.649 eV/atom

---

Here is an optimized crystal structure of Pr3Dy3Mg2 from the Alexandria database. Energies are from PBE.

Structure (CIF):
```
data_Pr3Dy3Mg2
_symmetry_space_group_name_H-M 'C m c m'
_symmetry_Int_Tables_number 63
_symmetry_space_group_name_Hall '-C 2c 2'
_cell_length_a 5.403
_cell_length_b 11.882
_cell_length_c 15.843
_cell_angle_alpha 90.00
_cell_angle_beta 90.00
_cell_angle_gamma 90.00
loop_
_atom_site_label
_atom_site_type_symbol
_atom_site_fract_x
_atom_site_fract_y
_atom_site_fract_z
Pr1 Pr 0.000 0.037 0.105
Pr2 Pr 0.000 0.250 0.250
Dy1 Dy 0.000 0.355 0.034
Dy2 Dy 0.000 0.476 0.750
Mg1 Mg 0.000 0.232 0.644
```

Output
DOS at the Fermi energy = 1.226 states/eV/atom
Formation energy from the elements = 0.059 eV/atom
Magnetization = 0.0 Bohr magnetons per cell
Total DFT energy (no corrections) = -3.857 eV/atom